A plane-wave DFT calculation with PBE was carried out for crystalline YSiN2 at its relaxed geometry.

a = 6.5390 Å, b = 6.5390 Å, c = 6.5390 Å
α = 26.88°, β = 26.88°, γ = 26.88°
Sites, in units of the cell vectors:
Y: 0.0000 0.0000 0.0000
Si: 0.5000 0.5000 0.5000
N: 0.8816 0.8816 0.8816
N: 0.1184 0.1184 0.1184

**D(E_F)**: 0.45 states/eV/atom
**Formation energy (no corrections)**: -12.25 kJ per mole of atoms
**Theoretical density**: 4.78 g/cm³
**Total moment**: 0.0 μB/f.u.

---

A plane-wave DFT calculation with PBE was carried out for crystalline Sr2ScTa at its relaxed geometry.

a = 4.0554 Å, b = 3.5173 Å, c = 9.8125 Å
α = 69.27°, β = 90.00°, γ = 90.00°
Sites, in units of the cell vectors:
Sc: 0.5000 0.8143 0.6864
Sr: 0.0000 0.0581 0.9456
Sr: 0.5000 0.1851 0.3115
Ta: 0.0000 0.4425 0.5565

**D(E_F)**: 1.34 states/eV/atom
**Energy of formation from the pure elements**: 0.5359 eV/atom
**Theoretical density**: 5.09 g/cm³
**Total moment**: 0.0 μB/f.u.
**Energy above the lowest structure with this stoichiometry**: 0 meV/atom